1.
HfTiNb2 | Alexandria | PBEsol | optimized geometry; final energy = -10.0107 eV per atom; D(E_F) = 7.8 states/eV/f.u.; symmetry = Fm-3m
1.0
4.666 0.000 0.000
2.333 4.041 0.000
2.333 1.347 3.810
Nb Ti Hf
2 1 1
Direct
0.750 0.750 0.750
0.250 0.250 0.250
0.000 0.000 0.000
0.500 0.500 0.500

=====

2.
HfTiNb2W | Alexandria | PBEsol | optimized geometry; final energy = -9.3527 eV per atom; D(E_F) = 7.3 states/eV/f.u.; symmetry = P4/mmm
1.0
-2.795 0.631 -3.436
-1.148 -4.322 0.140
-3.595 1.056 3.119
W Nb Hf Ti
1 2 1 1
Direct
0.500 0.500 0.500
0.000 0.500 0.000
0.500 0.000 0.000
0.000 0.000 0.500
0.000 0.000 0.000

=====

3.
HfNb2Tl2 | Alexandria | PBEsol | optimized geometry; final energy = -6.8383 eV per atom; D(E_F) = 2.9 states/eV/f.u.; symmetry = I4/mmm
1.0
-1.291 -2.626 2.974
3.562 0.609 2.084
-3.840 5.940 0.652
Tl Nb Hf
2 2 1
Direct
0.750 0.250 0.500
0.250 0.750 0.500
0.589 0.589 0.178
0.411 0.411 0.822
0.000 0.000 0.000

=====

4.
HfNb2W | Alexandria | PBEsol | optimized geometry; final energy = -11.4331 eV per atom; D(E_F) = 5.8 states/eV/f.u.; symmetry = Fm-3m
1.0
-2.479 -1.435 -3.648
0.013 -4.482 -1.194
-3.797 -2.583 0.648
Nb Hf W
2 1 1
Direct
0.750 0.750 0.750
0.250 0.250 0.250
0.000 0.000 0.000
0.500 0.500 0.500

=====

5.
Hf3NbZn | Alexandria | PBEsol | optimized geometry; final energy = -7.6267 eV per atom; D(E_F) = 6.7 states/eV/f.u.; symmetry = Pm-3m
1.0
4.977 0.000 0.000
0.000 4.977 0.000
0.000 0.000 4.977
Hf Nb Zn
3 1 1
Direct
0.000 0.500 0.000
0.500 0.000 0.000
0.000 0.000 0.500
0.000 0.000 0.000
0.500 0.500 0.500

=====

6.
Hf2ZrNb | Alexandria | PBEsol | optimized geometry; final energy = -10.1105 eV per atom; D(E_F) = 7.3 states/eV/f.u.; symmetry = Fm-3m
1.0
-3.798 -2.609 -1.512
0.073 -2.072 -4.384
0.373 -4.819 -0.398
Zr Hf Nb
1 2 1
Direct
0.000 0.000 0.000
0.250 0.250 0.250
0.750 0.750 0.750
0.500 0.500 0.500

=====

7.
HfZrNb2 | Alexandria | PBEsol | optimized geometry; D(E_F) = 7.9 states/eV/f.u.; symmetry = Fm-3m; excess energy over the best structure of this formula in the dataset = 0.034 eV per atom
1.0
-4.024 -1.827 -1.826
0.223 -3.514 -3.235
-1.367 -4.427 1.181
Nb Hf Zr
2 1 1
Direct
0.750 0.750 0.750
0.250 0.250 0.250
0.500 0.500 0.500
0.000 0.000 0.000

=====

8.
HfZrNb2 | Alexandria | PBEsol | optimized geometry; D(E_F) = 6.0 states/eV/f.u.; symmetry = Cmm2; excess energy over the best structure of this formula in the dataset = 0.000 eV per atom
1.0
-1.893 0.680 -2.182
2.479 -1.255 -1.042
-4.032 -8.635 0.808
Nb Zr Hf
2 1 1
Direct
0.500 0.500 0.738
0.000 0.000 0.514
0.500 0.500 0.266
0.000 0.000 0.983

=====

9.
Nd3HfSb5 | Alexandria | PBEsol | optimized geometry; final energy = -6.4015 eV per atom; D(E_F) = 3.1 states/eV/f.u.; symmetry = P6_3/mcm
1.0
6.225 0.000 0.000
0.000 9.379 0.000
0.000 -4.689 8.122
Nd Sb Hf
6 10 2
Direct
0.750 0.618 0.000
0.750 0.382 0.382
0.750 0.000 0.618
0.250 0.382 0.000
0.250 0.618 0.618
0.250 0.000 0.382
0.250 0.736 0.000
0.500 0.667 0.333
0.000 0.667 0.333
0.750 0.264 0.000
0.500 0.333 0.667
0.000 0.333 0.667
0.250 0.000 0.736
0.250 0.264 0.264
0.750 0.736 0.736
0.750 0.000 0.264
0.000 0.000 0.000
0.500 0.000 0.000

=====

10.
HfNi | Alexandria | PBEsol | optimized geometry; final energy = -8.8618 eV per atom; D(E_F) = 1.2 states/eV/f.u.; symmetry = Cmcm
1.0
-0.239 2.214 2.291
-2.809 -2.205 1.837
3.576 -3.380 1.413
Hf Ni
2 2
Direct
0.640 0.750 0.279
0.360 0.250 0.721
0.084 0.250 0.168
0.916 0.750 0.832

=====

11.
Hf2Ni | Alexandria | PBEsol | optimized geometry; final energy = -9.4141 eV per atom; D(E_F) = 3.2 states/eV/f.u.; symmetry = I4/mcm
1.0
5.162 -0.017 0.000
-2.592 4.464 0.000
-1.285 -2.224 4.478
Hf Ni
4 2
Direct
0.836 0.664 0.500
0.336 0.836 0.172
0.664 0.164 0.828
0.164 0.336 0.500
0.750 0.750 0.000
0.250 0.250 0.000

=====

12.
HfNi2 | Alexandria | PBEsol | optimized geometry; final energy = -8.1182 eV per atom; D(E_F) = 1.8 states/eV/f.u.; symmetry = Fd-3m
1.0
4.823 0.000 0.000
2.412 4.177 0.000
2.412 1.392 3.938
Ni Hf
4 2
Direct
0.125 0.125 0.125
0.125 0.625 0.125
0.625 0.125 0.125
0.125 0.125 0.625
0.750 0.750 0.750
0.500 0.500 0.500

=====

13.
Hf7Ni10 | Alexandria | PBEsol | optimized geometry; final energy = -8.4795 eV per atom; D(E_F) = 12.9 states/eV/f.u.; symmetry = Cmce
1.0
-3.489 -4.900 4.550
5.881 -3.610 -3.045
5.172 2.663 6.832
Hf Ni
14 20
Direct
0.808 0.192 0.500
0.997 0.497 0.250
0.497 0.997 0.250
0.185 0.185 0.314
0.815 0.815 0.686
0.000 0.000 0.000
0.685 0.685 0.186
0.500 0.500 0.500
0.315 0.315 0.814
0.308 0.692 0.000
0.003 0.503 0.750
0.692 0.308 0.000
0.503 0.003 0.750
0.192 0.808 0.500
0.393 0.393 0.105
0.636 0.347 0.292
0.847 0.136 0.208
0.353 0.063 0.007
0.893 0.893 0.395
0.063 0.353 0.007
0.147 0.437 0.507
0.853 0.563 0.493
0.937 0.647 0.993
0.437 0.147 0.507
0.364 0.653 0.708
0.653 0.364 0.708
0.563 0.853 0.493
0.107 0.107 0.605
0.864 0.153 0.792
0.153 0.864 0.792
0.347 0.636 0.292
0.647 0.937 0.993
0.607 0.607 0.895
0.136 0.847 0.208

=====

14.
Hf2Ni7 | Alexandria | PBEsol | optimized geometry; final energy = -7.6117 eV per atom; D(E_F) = 7.9 states/eV/f.u.; symmetry = C2/m
1.0
-4.169 -1.451 1.279
-3.153 -1.074 -3.238
0.395 -6.144 0.443
Ni Hf
7 2
Direct
0.500 0.000 0.500
0.500 0.500 0.500
0.537 0.671 0.845
0.208 0.329 0.845
0.000 0.500 0.500
0.463 0.329 0.155
0.792 0.671 0.155
0.894 0.000 0.771
0.106 0.000 0.229

=====

15.
HfNiO3 | Alexandria | PBEsol | optimized geometry; final energy = -7.9355 eV per atom; D(E_F) = 1.7 states/eV/f.u.; symmetry = Pm-3m
1.0
3.639 0.000 0.000
0.000 3.639 0.000
0.000 0.000 3.639
Hf O Ni
1 3 1
Direct
0.500 0.500 0.500
0.500 0.000 0.000
0.000 0.000 0.500
0.000 0.500 0.000
0.000 0.000 0.000

=====

16.
Hf4NiP | Alexandria | PBEsol | optimized geometry; final energy = -9.6863 eV per atom; D(E_F) = 5.2 states/eV/f.u.; symmetry = P4/mcc
1.0
5.191 0.000 0.000
0.000 6.322 0.000
0.000 0.000 6.322
Hf Ni P
8 2 2
Direct
0.500 0.662 0.842
0.000 0.158 0.338
0.000 0.338 0.842
0.500 0.338 0.158
0.500 0.842 0.338
0.500 0.158 0.662
0.000 0.842 0.662
0.000 0.662 0.158
0.250 0.000 0.000
0.750 0.000 0.000
0.250 0.500 0.500
0.750 0.500 0.500

=====

17.
Hf2Ni3P3 | Alexandria | PBEsol | optimized geometry; final energy = -8.1892 eV per atom; D(E_F) = 4.2 states/eV/f.u.; symmetry = Pnma
1.0
3.567 0.000 0.000
0.000 9.880 0.000
0.000 0.000 12.152
Hf Ni P
8 12 12
Direct
0.750 0.837 0.504
0.250 0.163 0.496
0.250 0.426 0.709
0.250 0.337 0.996
0.750 0.574 0.291
0.750 0.663 0.004
0.250 0.074 0.209
0.750 0.926 0.791
0.250 0.135 0.718
0.750 0.274 0.335
0.250 0.774 0.165
0.750 0.096 0.017
0.750 0.404 0.517
0.750 0.865 0.282
0.250 0.596 0.483
0.250 0.365 0.218
0.750 0.226 0.835
0.250 0.904 0.983
0.250 0.726 0.665
0.750 0.635 0.782
0.750 0.897 0.101
0.750 0.446 0.872
0.750 0.054 0.372
0.750 0.237 0.645
0.250 0.737 0.855
0.250 0.103 0.899
0.250 0.554 0.128
0.250 0.946 0.628
0.750 0.603 0.601
0.750 0.263 0.145
0.250 0.397 0.399
0.250 0.763 0.355

=====

18.
Hf2NiP2 | Alexandria | PBEsol | optimized geometry; final energy = -8.3101 eV per atom; D(E_F) = 3.3 states/eV/f.u.; symmetry = I4/mmm
1.0
3.302 0.000 0.000
0.000 3.302 0.000
-1.651 -1.651 7.233
P Hf Ni
2 2 1
Direct
0.750 0.250 0.500
0.250 0.750 0.500
0.393 0.393 0.785
0.607 0.607 0.215
0.000 0.000 0.000

=====

19.
HfNiP2S | Alexandria | PBEsol | optimized geometry; final energy = -6.4556 eV per atom; D(E_F) = 2.7 states/eV/f.u.; symmetry = P4/mmm
1.0
4.245 0.000 0.000
0.000 4.245 0.000
0.000 0.000 4.510
P Hf S Ni
2 1 1 1
Direct
0.500 0.000 0.000
0.000 0.500 0.000
0.500 0.500 0.500
0.000 0.000 0.500
0.000 0.000 0.000

=====

20.
HfTaNiPb2 | Alexandria | PBEsol | optimized geometry; final energy = -6.2290 eV per atom; D(E_F) = 5.0 states/eV/f.u.; symmetry = P4/mmm
1.0
-1.910 2.564 -3.192
-4.418 0.327 2.905
1.880 4.349 2.369
Hf Pb Ni Ta
1 2 1 1
Direct
0.500 0.500 0.500
0.000 0.500 0.000
0.000 0.000 0.500
0.500 0.000 0.000
0.000 0.000 0.000

=====

21.
Hf2Ni2Pd | Alexandria | PBEsol | optimized geometry; final energy = -8.4878 eV per atom; D(E_F) = 3.4 states/eV/f.u.; symmetry = P4/mbm
1.0
-0.713 1.050 2.949
-4.279 -5.301 0.854
5.149 -3.741 2.577
Hf Pd Ni
4 2 4
Direct
0.500 0.826 0.326
0.500 0.674 0.826
0.500 0.174 0.674
0.500 0.326 0.174
0.000 0.500 0.500
0.000 0.000 0.000
0.000 0.125 0.375
0.000 0.625 0.125
0.000 0.375 0.875
0.000 0.875 0.625

=====

22.
Hf3NiPd | Alexandria | PBEsol | optimized geometry; final energy = -7.8413 eV per atom; D(E_F) = 8.2 states/eV/f.u.; symmetry = Pm-3m
1.0
-3.663 3.193 -0.546
-2.648 -2.475 3.283
1.867 2.755 3.583
Hf Ni Pd
3 1 1
Direct
0.500 0.000 0.000
0.000 0.500 0.000
0.000 0.000 0.500
0.500 0.500 0.500
0.000 0.000 0.000

=====

23.
HfTlNiPd2 | Alexandria | PBEsol | optimized geometry; final energy = -5.6465 eV per atom; D(E_F) = 8.0 states/eV/f.u.; symmetry = P4/mmm
1.0
4.583 0.000 0.000
0.000 4.578 0.000
0.000 0.000 4.578
Tl Pd Hf Ni
1 2 1 1
Direct
0.500 0.000 0.000
0.000 0.000 0.500
0.000 0.500 0.000
0.500 0.500 0.500
0.000 0.000 0.000

=====

24.
HfZnNi2Pt | Alexandria | PBEsol | optimized geometry; final energy = -5.5538 eV per atom; D(E_F) = 5.4 states/eV/f.u.; symmetry = P4/mmm
1.0
-0.317 -1.710 -3.776
3.658 -1.896 0.552
-2.260 -3.805 1.912
Ni Hf Zn Pt
2 1 1 1
Direct
0.000 0.500 0.000
0.500 0.000 0.000
0.000 0.000 0.500
0.000 0.000 0.000
0.500 0.500 0.500